(1)
VASP calculation (meta-GGA SCAN) on a crystal of NiC3 relaxed with PBEsol.

Results
energy of formation from the pure elements	1.995	eV per atom
total magnetic moment	0.00	μB per formula unit
E above lowest polymorph	614	meV per atom
raw total energy	-38.493	eV/f.u.

a b c (Å): 2.496 3.606 4.280
angles (deg): 114.92 106.96 90.00
Fractional positions:
C 0.500 0.000 0.000
C 0.131 0.131 0.262
C 0.869 0.869 0.738
Ni 0.000 0.500 0.000



(2)
VASP calculation (meta-GGA SCAN) on a crystal of Ni2C relaxed with PBEsol.

Results
energy of formation from the pure elements	0.200	eV per atom
total magnetic moment	0.00	μB per formula unit
E above lowest polymorph	0	meV per atom
raw total energy	-41.846	eV/f.u.

a b c (Å): 2.885 4.072 4.675
angles (deg): 90.00 90.00 90.00
Fractional positions:
Ni 0.500 0.771 0.171
Ni 0.000 0.271 0.329
Ni 0.000 0.729 0.671
Ni 0.500 0.229 0.829
C 0.000 0.000 0.000
C 0.500 0.500 0.500



(3)
VASP calculation (meta-GGA SCAN) on a crystal of Ni2C relaxed with PBEsol.

Results
energy of formation from the pure elements	0.390	eV per atom
total magnetic moment	0.00	μB per formula unit
E above lowest polymorph	189	meV per atom
raw total energy	-41.277	eV/f.u.

a b c (Å): 2.896 2.896 4.176
angles (deg): 110.35 110.35 59.91
Fractional positions:
Ni 0.752 0.752 0.757
Ni 0.248 0.248 0.243
C 0.500 0.500 0.000



(4)
VASP calculation (meta-GGA SCAN) on a crystal of NiC3 relaxed with PBEsol.

Results
energy of formation from the pure elements	2.189	eV per atom
total magnetic moment	0.00	μB per formula unit
E above lowest polymorph	808	meV per atom
raw total energy	-37.718	eV/f.u.

a b c (Å): 2.491 2.491 5.194
angles (deg): 90.00 90.00 120.00
Fractional positions:
C 0.333 0.667 0.000
C 0.000 0.000 0.816
C 0.000 0.000 0.184
Ni 0.333 0.667 0.500



(5)
VASP calculation (meta-GGA SCAN) on a crystal of NiC3 relaxed with PBEsol.

Results
energy of formation from the pure elements	3.245	eV per atom
total magnetic moment	2.02	μB per formula unit
E above lowest polymorph	1864	meV per atom
raw total energy	-33.491	eV/f.u.

a b c (Å): 3.685 3.685 3.685
angles (deg): 90.00 90.00 90.00
Fractional positions:
C 0.000 0.500 0.000
C 0.500 0.000 0.000
C 0.000 0.000 0.500
Ni 0.000 0.000 0.000



(6)
VASP calculation (meta-GGA SCAN) on a crystal of NiC3 relaxed with PBEsol.

Results
energy of formation from the pure elements	3.080	eV per atom
total magnetic moment	0.00	μB per formula unit
E above lowest polymorph	1699	meV per atom
raw total energy	-34.152	eV/f.u.

a b c (Å): 2.633 3.377 3.377
angles (deg): 90.00 90.00 90.00
Fractional positions:
C 0.500 0.500 0.500
C 0.000 0.000 0.500
C 0.000 0.500 0.000
Ni 0.500 0.000 0.000



These records have DOS at the Fermi energy values of 0.61; 1.15; 1.89; 1.51; 2.39; 1.49 states/eV/cell, in the order they appear.